DyTlNO | PBE | relaxed

Computed properties:
- magnetic moment (μB per formula unit) = 0.00
- final energy (eV per cell) = -98.11
- density (kg/m3) = 8763
- volume (Å³ per cell) = 300.8

a = 6.7227 Å, b = 7.5972 Å, c = 5.8899 Å
α = 90.00°, β = 90.00°, γ = 90.00°
Fractional positions:
Dy 0.0841 0.1256 0.0000
Dy 0.4159 0.1256 0.5000
Dy 0.5841 0.8744 0.0000
Dy 0.9159 0.8744 0.5000
Tl 0.0868 0.6436 0.0023
Tl 0.4132 0.6436 0.5023
Tl 0.5868 0.3564 0.0023
Tl 0.9132 0.3564 0.5023
N 0.0992 0.1052 0.6197
N 0.4008 0.1052 0.1197
N 0.5992 0.8948 0.6197
N 0.9008 0.8948 0.1197
O 0.0581 0.6240 0.5895
O 0.4419 0.6240 0.0895
O 0.5581 0.3760 0.5895
O 0.9419 0.3760 0.0895

DyTlNO | PBE | relaxed

Computed properties:
- magnetic moment (μB per formula unit) = 0.00
- final energy (eV per cell) = -49.40
- density (kg/m3) = 8565
- volume (Å³ per cell) = 153.9

a = 3.8439 Å, b = 6.6123 Å, c = 6.0550 Å
α = 90.00°, β = 90.00°, γ = 90.00°
Fractional positions:
Dy 0.0000 0.1747 0.0000
Dy 0.0000 0.8253 0.5000
Tl 0.5000 0.3312 0.5079
Tl 0.5000 0.6688 0.0079
N 0.5000 0.3323 0.9012
N 0.5000 0.6677 0.4012
O 0.0000 0.1222 0.3526
O 0.0000 0.8778 0.8526

DyTlNO | PBE | relaxed

Computed properties:
- magnetic moment (μB per formula unit) = 0.00
- final energy (eV per cell) = -49.35
- density (kg/m3) = 8627
- volume (Å³ per cell) = 152.8

a = 3.8657 Å, b = 6.5704 Å, c = 6.0152 Å
α = 90.00°, β = 90.00°, γ = 90.00°
Fractional positions:
Dy 0.0000 0.1734 0.0000
Dy 0.0000 0.8266 0.5000
Tl 0.5000 0.3192 0.4876
Tl 0.5000 0.6808 0.9876
N 0.0000 0.1462 0.3726
N 0.0000 0.8538 0.8726
O 0.5000 0.3053 0.9085
O 0.5000 0.6947 0.4085

DyTlNO | PBE | relaxed

Computed properties:
- magnetic moment (μB per formula unit) = 0.00
- final energy (eV per cell) = -47.58
- density (kg/m3) = 9999
- volume (Å³ per cell) = 131.8

a = 4.1282 Å, b = 4.1282 Å, c = 7.7349 Å
α = 90.00°, β = 90.00°, γ = 90.00°
Fractional positions:
Dy 0.2500 0.2500 0.1198
Dy 0.7500 0.7500 0.8802
Tl 0.2500 0.7500 0.5000
Tl 0.7500 0.2500 0.5000
N 0.2500 0.2500 0.6801
N 0.7500 0.7500 0.3199
O 0.2500 0.7500 0.0000
O 0.7500 0.2500 0.0000

DyTmNO | PBE | relaxed

Computed properties:
- magnetic moment (μB per formula unit) = 0.00
- final energy (eV per cell) = -125.39
- density (kg/m3) = 9438
- volume (Å³ per cell) = 254.4

a = 7.9798 Å, b = 6.5649 Å, c = 4.8557 Å
α = 90.00°, β = 90.00°, γ = 90.00°
Fractional positions:
Dy 0.1231 0.0689 0.2500
Dy 0.1231 0.4311 0.7500
Dy 0.8769 0.5689 0.2500
Dy 0.8769 0.9311 0.7500
Tm 0.3745 0.5848 0.2500
Tm 0.3745 0.9152 0.7500
Tm 0.6255 0.0848 0.2500
Tm 0.6255 0.4152 0.7500
N 0.3782 0.5726 0.7500
N 0.3782 0.9274 0.2500
N 0.6218 0.0726 0.7500
N 0.6218 0.4274 0.2500
O 0.1377 0.0919 0.7500
O 0.1377 0.4081 0.2500
O 0.8623 0.5919 0.7500
O 0.8623 0.9081 0.2500

DyTmNO | PBE | relaxed

Computed properties:
- magnetic moment (μB per formula unit) = 0.51
- final energy (eV per cell) = -58.85
- density (kg/m3) = 8683
- volume (Å³ per cell) = 138.2

a = 4.2855 Å, b = 4.2855 Å, c = 7.5272 Å
α = 90.00°, β = 90.00°, γ = 90.00°
Fractional positions:
Dy 0.2500 0.7500 0.0000
Dy 0.7500 0.2500 0.0000
Tm 0.2500 0.2500 0.4100
Tm 0.7500 0.7500 0.5900
N 0.2500 0.2500 0.8789
N 0.7500 0.7500 0.1211
O 0.2500 0.7500 0.5000
O 0.7500 0.2500 0.5000

density of number 1 (DyTlNO)? 8763 kg/m3